# 1
The following is a DFT calculation (GGA-PBE) of a relaxed Co3BiRu crystal.

Geometry as POSCAR:
```
Co3BiRu
1.0
4.548 0.000 0.000
0.000 4.548 0.000
0.000 0.000 4.548
Co Bi Ru
3 1 1
Cartesian
2.274 0.000 0.000
0.000 2.274 0.000
0.000 0.000 2.274
2.274 2.274 2.274
0.000 0.000 0.000
```

Results
The space group is Pm-3m, No. 221. The value obtained for the formation energy from the elements is 114.8 kJ/mol of atoms. The calculation puts the total DFT energy (no corrections) at -5.71 eV per atom. The calculation puts the size of the total moment at 1.1157 μB/atom.

# 2
The following is a DFT calculation (GGA-PBE) of a relaxed ErMgGa2Ir2 crystal.

Geometry as POSCAR:
```
ErMgGa2Ir2
1.0
-3.542 -0.907 -2.391
1.314 -2.784 3.100
-3.689 3.053 4.306
Ga Ir Er Mg
2 2 1 1
Cartesian
-1.362 -1.283 2.504
-4.554 0.646 2.511
-2.985 -0.654 0.678
-2.932 0.017 4.336
0.000 0.000 0.000
-1.844 1.527 2.153
```

Results
The space group is P-3m1, No. 164. The value obtained for the formation energy from the elements is -63.2 kJ/mol of atoms. The calculation puts the total DFT energy (no corrections) at -5.64 eV per atom. The calculation puts the size of the total moment at 0.0000 μB/atom.

# 3
The following is a DFT calculation (GGA-PBE) of a relaxed Ir2AuO6 crystal.

Geometry as POSCAR:
```
Ir2AuO6
1.0
4.576 0.000 0.000
0.000 4.580 -2.644
0.000 0.000 5.288
O Ir Au
6 2 1
Cartesian
3.352 1.709 -0.987
1.225 4.580 0.671
3.352 0.000 1.973
1.225 1.709 0.987
3.352 2.871 1.657
1.225 2.871 3.631
2.288 3.053 0.000
2.288 1.527 2.644
0.000 0.000 0.000
```

Results
The space group is P-31m, No. 162. As for the energy relative to the elements, uncorrected: -0.426 eV/atom. The calculation puts the total DFT energy (no corrections) at -6.06 eV per atom. The calculation puts the size of the total moment at 0.0565 μB/atom.

# 4
The following is a DFT calculation (GGA-PBE) of a relaxed Sm3I7Cl crystal.

Geometry as POSCAR:
```
Sm3I7Cl
1.0
-2.218 -1.694 8.267
-4.233 -7.367 1.959
5.710 -4.504 5.213
Sm I Cl
3 7 1
Cartesian
2.260 -4.768 4.234
0.177 -8.396 5.200
-0.948 -9.256 9.393
-3.613 -9.921 10.811
-2.552 -9.058 6.668
-1.505 -6.244 9.832
1.696 -8.624 7.896
2.715 -5.757 11.082
-0.394 -5.396 5.691
3.835 -4.902 6.908
0.234 -9.252 11.980
```

Results
The space group is Cm, No. 8. As for the energy relative to the elements, uncorrected: -1.438 eV/atom. The calculation puts the total DFT energy (no corrections) at -3.88 eV per atom. The calculation puts the size of the total moment at 0.0631 μB/atom.

# 5
The following is a DFT calculation (GGA-PBE) of a relaxed Nd2DyY2 crystal.

Geometry as POSCAR:
```
Nd2DyY2
1.0
-5.443 -3.698 -0.609
4.706 -8.248 8.017
-1.242 5.632 6.524
Y Nd Dy
8 8 4
Cartesian
0.508 1.404 6.995
0.739 -6.753 8.100
-2.487 -7.718 6.937
2.125 -1.480 12.537
-2.718 0.439 5.831
-1.015 -2.595 11.519
-0.964 -3.719 2.413
-4.104 -4.834 1.395
-0.427 -7.029 11.409
1.058 -4.968 4.799
-3.037 -1.346 9.133
0.369 -1.806 8.434
-2.230 3.858 6.176
-2.348 -4.508 5.497
0.251 -10.172 7.755
-1.552 0.715 2.522
-1.835 -4.665 8.907
-3.754 -1.940 3.206
-0.144 -1.648 5.024
1.775 -4.374 10.726
```

Results
The space group is P2_1/c, No. 14. The value obtained for the formation energy from the elements is 13.2 kJ/mol of atoms. The calculation puts the total DFT energy (no corrections) at -5.28 eV per atom. The calculation puts the size of the total moment at 0.0000 μB/atom.

# 6
The following is a DFT calculation (GGA-PBE) of a relaxed IrPbS2 crystal.

Geometry as POSCAR:
```
IrPbS2
1.0
-5.956 6.016 -0.892
-4.780 6.606 2.443
-2.993 7.961 -0.355
S Pb Ir
2 1 1
Cartesian
-12.091 18.127 1.054
-1.638 2.456 0.143
0.000 0.000 0.000
-6.864 10.291 0.598
```

Results
The space group is R-3m, No. 166. As for the energy relative to the elements, uncorrected: -0.327 eV/atom. The calculation puts the total DFT energy (no corrections) at -5.53 eV per atom. The calculation puts the size of the total moment at 0.0000 μB/atom.

# 7
The following is a DFT calculation (GGA-PBE) of a relaxed Ca3Tb4SmSe8 crystal.

Geometry as POSCAR:
```
Ca3Tb4SmSe8
1.0
-4.661 3.530 -5.827
-6.724 -1.039 4.750
6.573 3.988 3.005
Se Tb Ca Sm
8 4 3 1
Cartesian
-2.925 2.121 3.625
-8.550 1.865 -0.781
0.454 2.609 1.218
-1.887 4.359 -1.696
-6.235 0.112 2.112
3.738 4.615 2.710
-5.266 3.871 0.711
1.423 6.368 -0.184
0.956 3.759 -1.411
3.287 1.994 1.503
-2.331 1.765 -2.913
0.000 0.000 0.000
-5.693 1.246 -0.538
-2.406 3.240 0.964
-0.075 1.475 3.878
-3.362 -0.519 2.375
```

Results
The space group is R-3m, No. 166. As for the energy relative to the elements, uncorrected: -1.859 eV/atom. The calculation puts the total DFT energy (no corrections) at -5.43 eV per atom. The calculation puts the size of the total moment at 0.0000 μB/atom.

# 8
The following is a DFT calculation (GGA-PBE) of a relaxed CuPd6Pt3 crystal.

Geometry as POSCAR:
```
CuPd6Pt3
1.0
-0.862 -3.252 2.051
8.051 -3.114 -1.555
2.877 3.870 7.344
Pd Pt Cu
12 6 2
Cartesian
6.917 -2.869 4.036
6.387 -0.677 7.287
8.507 -1.998 6.084
2.489 -0.210 6.390
7.577 -2.287 1.450
7.076 -0.159 4.614
2.745 2.500 7.010
3.149 0.371 3.804
7.321 -4.998 0.830
2.990 -2.338 3.226
3.679 -1.820 0.553
1.559 -0.499 1.756
5.844 -3.136 -0.624
4.705 -1.520 5.244
5.178 -3.683 2.013
4.888 1.186 5.827
5.361 -0.977 2.596
4.222 0.639 8.464
0.900 -1.037 4.411
9.166 -1.460 3.429
```

Results
The space group is P2_1/m, No. 11. The value obtained for the formation energy from the elements is -3.8 kJ/mol of atoms. The calculation puts the total DFT energy (no corrections) at -5.38 eV per atom. The calculation puts the size of the total moment at 0.0002 μB/atom.

# 9
The following is a DFT calculation (GGA-PBE) of a relaxed SiB2Cl crystal.

Geometry as POSCAR:
```
SiB2Cl
1.0
4.932 0.000 0.000
0.000 4.932 0.000
2.466 2.466 4.972
B Cl Si
4 2 2
Cartesian
3.699 3.994 3.729
6.165 5.870 3.729
1.528 3.699 1.243
3.404 1.233 1.243
4.932 2.466 2.486
0.000 0.000 0.000
2.466 2.466 0.000
2.466 4.932 2.486
```

Results
The space group is I-42d, No. 122. As for the energy relative to the elements, uncorrected: 0.817 eV/atom. The calculation puts the total DFT energy (no corrections) at -4.34 eV per atom. The calculation puts the size of the total moment at 0.0000 μB/atom.

# 10
The following is a DFT calculation (GGA-PBE) of a relaxed Na3PmY2O6 crystal.

Geometry as POSCAR:
```
Na3PmY2O6
1.0
-0.159 -3.002 5.217
2.571 -2.500 -4.837
4.115 4.086 1.321
O Y Na Pm
6 2 3 1
Cartesian
1.922 -0.374 -1.342
3.887 1.728 1.142
4.604 -1.043 3.043
2.639 -3.144 0.559
5.535 -0.872 -0.386
0.991 -0.545 2.087
0.751 -2.835 1.865
1.660 -2.668 -1.485
4.164 -0.542 -2.467
3.263 -0.708 0.851
2.362 -0.874 4.168
0.000 0.000 0.000
```

Results
The space group is C2/m, No. 12. As for the energy relative to the elements, uncorrected: -2.733 eV/atom. The calculation puts the total DFT energy (no corrections) at -7.02 eV per atom. The calculation puts the size of the total moment at 0.0000 μB/atom.

# 11
The following is a DFT calculation (GGA-PBE) of a relaxed RbTcI2O crystal.

Geometry as POSCAR:
```
RbTcI2O
1.0
-4.655 -3.441 2.890
4.269 -4.685 1.299
0.912 1.849 3.670
Tc Rb I O
1 1 2 1
Cartesian
0.263 -3.139 3.930
0.000 0.000 0.000
-2.328 -1.720 1.445
2.135 -2.343 0.649
0.456 0.924 1.835
```

Results
The space group is P4/mmm, No. 123. As for the energy relative to the elements, uncorrected: 1.023 eV/atom. The calculation puts the total DFT energy (no corrections) at -2.86 eV per atom. The calculation puts the size of the total moment at 0.9593 μB/atom.